No. 1
DFT (PBE-GGA) results for Rb2AsBr6F after structural relaxation.

* space group: No. 139
* volume: 30.443 Å³ per atom

Structure (POSCAR):
```
Rb2AsBr6F
1.0
-3.689 3.689 5.593
3.689 -3.689 5.593
3.689 3.689 -5.593
Rb As Br F
2 1 6 1
Cartesian
3.689 0.000 2.797
0.000 3.689 2.797
0.000 0.000 0.000
0.000 0.000 2.560
1.783 1.783 0.000
1.906 -1.906 5.593
-1.906 1.906 5.593
1.906 1.906 5.593
0.000 0.000 8.627
0.000 0.000 5.593
```



No. 2
DFT (PBE-GGA) results for ReAs2BrF after structural relaxation.

* space group: No. 123
* polymorph energy (0 for the lowest one): 0.753 eV per atom
* volume: 18.960 Å³ per atom

Structure (POSCAR):
```
ReAs2BrF
1.0
4.290 0.000 0.000
0.000 4.290 0.000
0.000 0.000 5.151
Re As Br F
1 2 1 1
Cartesian
0.000 0.000 0.000
0.000 2.145 2.575
2.145 0.000 2.575
2.145 2.145 0.000
2.145 2.145 2.575
```



No. 3
DFT (PBE-GGA) results for ReAs2BrF after structural relaxation.

* space group: No. 123
* polymorph energy (0 for the lowest one): 0.000 eV per atom
* volume: 23.368 Å³ per atom

Structure (POSCAR):
```
ReAs2BrF
1.0
4.758 0.000 0.000
0.000 4.758 0.000
0.000 0.000 5.162
Re As Br F
1 2 1 1
Cartesian
0.000 0.000 0.000
0.000 2.379 0.000
2.379 0.000 0.000
0.000 0.000 2.581
2.379 2.379 2.581
```



No. 4
DFT (PBE-GGA) results for As2RhBrF after structural relaxation.

* space group: No. 123
* polymorph energy (0 for the lowest one): 0.000 eV per atom
* volume: 23.167 Å³ per atom

Structure (POSCAR):
```
As2RhBrF
1.0
4.728 0.000 0.000
0.000 4.728 0.000
0.000 0.000 5.182
As Rh Br F
2 1 1 1
Cartesian
0.000 2.364 0.000
2.364 0.000 0.000
0.000 0.000 0.000
0.000 0.000 2.591
2.364 2.364 2.591
```



Looking at energy relative to the elements, uncorrected for the records above, in order, we have -943, 987, 234, 146 meV/atom.